VASP calculation (PBE) on an optimized crystal structure of Ni4Au2N.

Values from the calculation:
* total magnetic moment: 0.00 μB/f.u.
* symmetry: I4/mmm, No. 139
* ρ: 11.66 Mg/m³
* formation energy without anion corrections: 112 meV per atom

```
data_Ni4Au2N
_chemical_formula_sum 'Ni8 Au4 N2'
_symmetry_space_group_name_H-M 'P 1'
_symmetry_Int_Tables_number 1
_symmetry_space_group_name_Hall 'P 1'
_cell_length_a 3.7056
_cell_length_b 3.7056
_cell_length_c 13.3283
_cell_angle_alpha 90.00
_cell_angle_beta 90.00
_cell_angle_gamma 90.00
loop_
_atom_site_label
_atom_site_type_symbol
_atom_site_fract_x
_atom_site_fract_y
_atom_site_fract_z
Ni1 Ni 0.0000 0.0000 0.1381
Ni2 Ni 0.0000 0.0000 0.8619
Ni3 Ni 0.0000 0.5000 0.0000
Ni4 Ni 0.0000 0.5000 0.5000
Ni5 Ni 0.5000 0.0000 0.0000
Ni6 Ni 0.5000 0.0000 0.5000
Ni7 Ni 0.5000 0.5000 0.3619
Ni8 Ni 0.5000 0.5000 0.6381
Au1 Au 0.0000 0.0000 0.3282
Au2 Au 0.0000 0.0000 0.6718
Au3 Au 0.5000 0.5000 0.1718
Au4 Au 0.5000 0.5000 0.8282
N1 N 0.0000 0.0000 0.0000
N2 N 0.5000 0.5000 0.5000
```

VASP calculation (PBE) on an optimized crystal structure of Ni3AuN.

Values from the calculation:
* total magnetic moment: 0.00 μB/f.u.
* symmetry: R-3, No. 148
* ρ: 10.17 Mg/m³
* formation energy without anion corrections: 182 meV per atom

```
data_Ni3AuN
_chemical_formula_sum 'Ni6 Au2 N2'
_symmetry_space_group_name_H-M 'P 1'
_symmetry_Int_Tables_number 1
_symmetry_space_group_name_Hall 'P 1'
_cell_length_a 7.0049
_cell_length_b 7.0049
_cell_length_c 7.0049
_cell_angle_alpha 39.73
_cell_angle_beta 39.73
_cell_angle_gamma 39.73
loop_
_atom_site_label
_atom_site_type_symbol
_atom_site_fract_x
_atom_site_fract_y
_atom_site_fract_z
Ni1 Ni 0.0455 0.7202 0.3962
Ni2 Ni 0.2798 0.6038 0.9545
Ni3 Ni 0.3962 0.0455 0.7202
Ni4 Ni 0.6038 0.9545 0.2798
Ni5 Ni 0.7202 0.3962 0.0455
Ni6 Ni 0.9545 0.2798 0.6038
Au1 Au 0.1627 0.1627 0.1627
Au2 Au 0.8373 0.8373 0.8373
N1 N 0.3376 0.3376 0.3376
N2 N 0.6624 0.6624 0.6624
```

VASP calculation (PBE) on an optimized crystal structure of Ni3AuN.

Values from the calculation:
* total magnetic moment: 0.00 μB/f.u.
* symmetry: P2/m, No. 10
* ρ: 11.15 Mg/m³
* formation energy without anion corrections: 66 meV per atom

```
data_Ni3AuN
_chemical_formula_sum 'Ni3 Au1 N1'
_symmetry_space_group_name_H-M 'P 1'
_symmetry_Int_Tables_number 1
_symmetry_space_group_name_Hall 'P 1'
_cell_length_a 3.7024
_cell_length_b 2.8529
_cell_length_c 5.4561
_cell_angle_alpha 90.00
_cell_angle_beta 90.07
_cell_angle_gamma 90.00
loop_
_atom_site_label
_atom_site_type_symbol
_atom_site_fract_x
_atom_site_fract_y
_atom_site_fract_z
Ni1 Ni 0.0000 0.0000 0.0000
Ni2 Ni 0.4993 0.5000 0.2378
Ni3 Ni 0.5007 0.5000 0.7622
Au1 Au 0.0000 0.0000 0.5000
N1 N 0.5000 0.0000 0.0000
```

VASP calculation (PBE) on an optimized crystal structure of Ni4AuN.

Values from the calculation:
* total magnetic moment: 0.00 μB/f.u.
* polymorph energy (0 for the lowest one): 205.9 meV/atom
* symmetry: P4/mmm, No. 123
* ρ: 9.54 Mg/m³
* formation energy without anion corrections: 248 meV per atom

```
data_Ni4AuN
_chemical_formula_sum 'Ni4 Au1 N1'
_symmetry_space_group_name_H-M 'P 1'
_symmetry_Int_Tables_number 1
_symmetry_space_group_name_Hall 'P 1'
_cell_length_a 3.5814
_cell_length_b 3.5814
_cell_length_c 6.0492
_cell_angle_alpha 90.00
_cell_angle_beta 90.00
_cell_angle_gamma 90.00
loop_
_atom_site_label
_atom_site_type_symbol
_atom_site_fract_x
_atom_site_fract_y
_atom_site_fract_z
Ni1 Ni 0.0000 0.0000 0.1913
Ni2 Ni 0.0000 0.0000 0.8087
Ni3 Ni 0.0000 0.5000 0.5000
Ni4 Ni 0.5000 0.0000 0.5000
Au1 Au 0.5000 0.5000 0.0000
N1 N 0.0000 0.0000 0.5000
```

Number 1: DOS at the Fermi energy 15.25 states/eV per cell. Number 2: DOS at the Fermi energy 5.99 states/eV per cell. Number 3: DOS at the Fermi energy 3.25 states/eV per cell. Number 4: DOS at the Fermi energy 6.71 states/eV per cell.